The following is a DFT calculation (GGA-PBE) of a relaxed structure of ZnCdCu2.

a b c (Å): 4.8846 4.8846 4.8846
angles (deg): 134.00 134.00 67.09
Atoms (fractional coordinates):
Cu 0.0000 0.0000 0.0000
Zn 0.5000 0.5000 0.0000
Cd 0.7500 0.2500 0.5000
Cu 0.2500 0.7500 0.5000

Values from the calculation:
Energy of formation from the pure elements: 13 kJ/mol of formula units
Space-group type: I-4m2


The following is a DFT calculation (GGA-PBE) of a relaxed structure of Sm2TmHg.

a b c (Å): 5.4596 5.4596 5.4596
angles (deg): 60.00 60.00 60.00
Atoms (fractional coordinates):
Tm 0.0000 0.0000 0.0000
Hg 0.5000 0.5000 0.5000
Sm 0.7500 0.7500 0.7500
Sm 0.2500 0.2500 0.2500

Values from the calculation:
Energy of formation from the pure elements: -30 kJ/mol of formula units
Space-group type: Fm-3m
ΔE to the lowest computed polymorph: 0.149 eV per atom


The following is a DFT calculation (GGA-PBE) of a relaxed structure of BaAlHg.

a b c (Å): 5.2495 5.2495 5.2495
angles (deg): 60.00 60.00 60.00
Atoms (fractional coordinates):
Hg 0.5000 0.5000 0.5000
Al 0.7500 0.7500 0.7500
Ba 0.0000 0.0000 0.0000

Values from the calculation:
Energy of formation from the pure elements: -2 kJ/mol of formula units
Space-group type: F-43m
ΔE to the lowest computed polymorph: 0.312 eV per atom